Record 1
Ac2NdMg2 (PBE, relaxed); energy above the lowest structure with this stoichiometry = 0.0392 eV per atom; size of the total moment = 0.00 μB per formula unit; theoretical density = 5.9 g/cm3
1.0
5.535 0.000 0.000
2.767 5.862 0.108
2.767 1.674 5.619
Ac Nd Mg
2 1 2
Direct
0.196 0.304 0.304
0.804 0.696 0.696
0.000 0.000 0.000
0.500 0.717 0.283
0.500 0.283 0.717

---

Record 2
AcNd5Mg4 (PBE, relaxed); calculated total energy = -3.5135 eV/atom; size of the total moment = 0.00 μB per formula unit; theoretical density = 5.5 g/cm3
1.0
-3.878 0.173 -0.169
-0.240 -2.385 3.058
0.172 16.439 12.836
Mg Nd Ac
4 5 1
Direct
0.000 0.000 0.407
0.000 0.000 0.221
0.000 0.000 0.593
0.000 0.000 0.779
0.500 0.500 0.873
0.500 0.500 0.686
0.500 0.500 0.500
0.500 0.500 0.314
0.500 0.500 0.127
0.000 0.000 0.000

---

Record 3
Ac2Nd2Mg (PBE, relaxed); calculated total energy = -3.8770 eV/atom; size of the total moment = 0.00 μB per formula unit; theoretical density = 6.8 g/cm3
1.0
3.858 0.000 -0.619
-0.099 3.857 -0.619
0.028 0.029 12.506
Ac Mg Nd
2 1 2
Direct
0.592 0.592 0.184
0.408 0.408 0.816
0.000 0.000 0.000
0.201 0.201 0.401
0.799 0.799 0.599

---

Record 4
Ac6Nd12Mg (PBE, relaxed); calculated total energy = -4.2396 eV/atom; size of the total moment = 0.00 μB per formula unit; theoretical density = 7.3 g/cm3
1.0
9.270 -0.850 -2.575
-3.158 8.756 -2.575
-0.657 -0.850 9.598
Nd Ac Mg
12 6 1
Direct
0.507 0.860 0.358
0.642 0.493 0.140
0.079 0.807 0.257
0.921 0.193 0.743
0.807 0.257 0.079
0.140 0.642 0.493
0.493 0.140 0.642
0.257 0.079 0.807
0.743 0.921 0.193
0.358 0.507 0.860
0.860 0.358 0.507
0.193 0.743 0.921
0.753 0.543 0.822
0.457 0.178 0.247
0.247 0.457 0.178
0.178 0.247 0.457
0.543 0.822 0.753
0.822 0.753 0.543
0.000 0.000 0.000

---

Repeat the fourth record exactly.
Ac6Nd12Mg (PBE, relaxed); calculated total energy = -4.2396 eV/atom; size of the total moment = 0.00 μB per formula unit; theoretical density = 7.3 g/cm3
1.0
9.270 -0.850 -2.575
-3.158 8.756 -2.575
-0.657 -0.850 9.598
Nd Ac Mg
12 6 1
Direct
0.507 0.860 0.358
0.642 0.493 0.140
0.079 0.807 0.257
0.921 0.193 0.743
0.807 0.257 0.079
0.140 0.642 0.493
0.493 0.140 0.642
0.257 0.079 0.807
0.743 0.921 0.193
0.358 0.507 0.860
0.860 0.358 0.507
0.193 0.743 0.921
0.753 0.543 0.822
0.457 0.178 0.247
0.247 0.457 0.178
0.178 0.247 0.457
0.543 0.822 0.753
0.822 0.753 0.543
0.000 0.000 0.000

---

Q: Which of these has the highest theoretical density?
A: Ac6Nd12Mg